No. 1
CeDyPd5 PBE-GGA relaxed; energy relative to the elements = -693 meV/atom; Fermi-level density of states = 0.79 states/eV per atom; symmetry = P4/mmm, No. 123; energy = -0.434 Ry per atom
1.0
-3.597 -1.692 0.770
-0.590 -0.552 -3.968
3.655 -7.539 0.504
Ce Pd Dy
1 5 1
Cartesian
-2.094 -1.122 -1.599
0.975 -6.568 0.768
2.479 -5.998 -1.601
0.586 -2.093 -1.863
-0.267 -4.891 -1.347
-0.918 -2.663 0.507
1.827 -3.769 0.252


No. 2
Ta2SbCl PBE-GGA relaxed; Fermi-level density of states = 0.61 states/eV per atom; energy above the lowest structure with this stoichiometry = 0.089 eV/atom; symmetry = P4mm, No. 99; formation energy without anion corrections = -0.12 eV/atom; energy = -0.554 Ry per atom
1.0
-2.766 1.126 0.038
-0.986 -2.369 -1.527
-1.856 -4.853 8.726
Cl Sb Ta
1 1 2
Cartesian
-0.767 -2.006 3.606
-3.377 -4.547 6.312
-2.336 -1.825 1.418
-0.056 -0.146 0.262


No. 3
La4AsSe2Br PBE-GGA relaxed; Fermi-level density of states = 0.56 states/eV per atom; symmetry = P2/m, No. 10; formation energy without anion corrections = -1.76 eV/atom; energy = -0.432 Ry per atom
1.0
4.334 0.000 0.000
0.000 7.507 -0.149
0.000 2.642 7.056
As Br La Se
1 1 4 2
Cartesian
2.167 6.396 6.982
0.000 5.075 3.454
2.167 3.813 5.393
2.167 6.336 1.514
0.000 7.661 5.276
4.334 2.488 1.631
0.000 2.642 7.056
2.167 1.321 3.528


No. 4
BaGa6Pd2 PBE-GGA relaxed; energy relative to the elements = -373 meV/atom; Fermi-level density of states = 0.32 states/eV per atom; symmetry = Immm, No. 71; energy = -0.276 Ry per atom
1.0
-1.111 -1.094 -4.048
2.552 -6.666 -1.223
-4.434 -5.709 0.435
Ba Ga Pd
1 6 2
Cartesian
0.000 0.000 0.000
-3.731 -8.684 -1.278
0.433 -9.254 -2.267
-0.329 -6.894 -2.695
-3.426 -4.215 -2.570
0.738 -4.785 -3.558
-2.664 -6.574 -2.141
-2.145 -8.643 -4.049
-0.848 -4.826 -0.788


No. 5
KY2As PBE-GGA relaxed; energy relative to the elements = 207 meV/atom; Fermi-level density of states = 0.92 states/eV per atom; symmetry = Cmmm, No. 65; energy = -0.328 Ry per atom
1.0
6.181 -0.119 0.000
-2.366 5.711 0.000
0.000 0.000 3.359
Y K As
2 1 1
Cartesian
0.000 0.000 0.000
1.907 2.796 0.000
-1.183 2.856 1.680
3.091 -0.059 1.680


No. 6
Pm4Mg5Cd PBE-GGA relaxed; energy relative to the elements = -107 meV/atom; Fermi-level density of states = 0.95 states/eV per atom; energy above the lowest structure with this stoichiometry = 0.023 eV/atom; symmetry = P4/mmm, No. 123; energy = -0.213 Ry per atom
1.0
-1.301 0.924 3.483
-3.590 -0.012 -1.337
-1.526 -18.200 4.257
Pm Cd Mg
4 1 5
Cartesian
-0.922 -10.996 2.572
-0.604 -7.204 1.685
-0.293 -3.497 0.818
-1.233 -14.703 3.439
0.000 0.000 0.000
-3.524 -12.403 4.081
-3.843 -16.214 4.972
-3.208 -8.644 3.202
-2.574 -1.074 1.431
-2.893 -4.885 2.322


No. 7
Nd5Tm2Ga4 PBE-GGA relaxed; energy relative to the elements = -142 meV/atom; Fermi-level density of states = 1.05 states/eV per atom; symmetry = C2/m, No. 12; energy = -0.310 Ry per atom
1.0
3.577 0.000 0.000
0.000 7.957 -0.365
-1.789 -3.172 11.007
Ga Tm Nd
4 2 5
Cartesian
1.789 -0.550 10.763
1.789 4.062 1.562
0.000 0.723 9.080
0.000 5.335 -0.121
0.000 0.925 5.949
1.789 3.860 4.693
0.000 1.749 2.724
1.789 3.036 7.918
1.789 0.000 0.000
1.789 -1.526 7.716
0.000 6.311 2.926


No. 8
Nd2SmPu PBE-GGA relaxed; energy relative to the elements = 154 meV/atom; Fermi-level density of states = 4.05 states/eV per atom; energy above the lowest structure with this stoichiometry = 0.038 eV/atom; symmetry = P4/mmm, No. 123; energy = -0.514 Ry per atom
1.0
5.073 0.000 0.000
0.000 5.088 0.000
0.000 0.000 5.088
Pu Nd Sm
1 2 1
Cartesian
2.537 0.000 0.000
0.000 2.544 0.000
0.000 0.000 2.544
2.537 2.544 2.544


No. 9
Sc5TeSe5 PBE-GGA relaxed; Fermi-level density of states = 0.41 states/eV per atom; symmetry = C2/m, No. 12; formation energy without anion corrections = -1.57 eV/atom; energy = -0.464 Ry per atom
1.0
-4.731 -1.691 -2.394
5.484 -3.382 -1.978
-2.259 -3.228 6.744
Te Sc Se
1 5 5
Cartesian
0.000 0.000 0.000
-0.717 -4.242 -2.056
0.276 -2.592 1.286
-0.789 -4.060 4.428
-1.782 -5.710 1.087
-2.365 -0.846 -1.197
-1.129 -1.614 3.372
0.622 -5.029 2.324
1.685 -3.292 -1.004
-2.128 -3.273 0.049
-3.191 -5.010 3.376


No. 10
MnCoMo3 PBE-GGA relaxed; energy relative to the elements = 1349 meV/atom; Fermi-level density of states = 1.32 states/eV per atom; energy above the lowest structure with this stoichiometry = 0.000 eV/atom; symmetry = Pm-3m, No. 221; energy = -0.618 Ry per atom
1.0
-4.183 -1.126 0.735
0.865 -4.092 -1.345
1.029 -1.136 4.117
Mo Mn Co
3 1 1
Cartesian
-2.091 -0.563 0.368
0.515 -0.568 2.059
0.432 -2.046 -0.673
0.000 0.000 0.000
-1.144 -3.177 1.754


No. 11
Li2Si2Br PBE-GGA relaxed; Fermi-level density of states = 0.30 states/eV per atom; energy above the lowest structure with this stoichiometry = 0.000 eV/atom; symmetry = I4/mmm, No. 139; formation energy without anion corrections = -0.44 eV/atom; energy = -0.273 Ry per atom
1.0
3.465 0.000 0.000
0.000 3.465 0.000
1.733 1.733 7.733
Br Li Si
1 2 2
Cartesian
0.000 0.000 0.000
1.733 1.733 1.560
3.465 3.465 6.172
1.733 3.465 3.866
3.465 1.733 3.866


No. 12
CoSe2Br PBE-GGA relaxed; Fermi-level density of states = 0.49 states/eV per atom; energy above the lowest structure with this stoichiometry = 0.076 eV/atom; symmetry = P1, No. 1; formation energy without anion corrections = -0.13 eV/atom; energy = -0.299 Ry per atom
1.0
9.756 -0.063 -0.019
-1.689 5.749 0.003
0.269 -0.848 3.901
Br Se Co
2 4 2
Cartesian
6.641 4.500 3.612
4.870 2.604 0.292
2.005 2.946 2.670
9.497 0.785 2.941
2.912 0.958 0.189
-0.155 3.900 1.920
1.122 2.396 0.540
1.848 0.439 2.188


No. 13
Li2ZnGa PBE-GGA relaxed; energy relative to the elements = -13 meV/atom; Fermi-level density of states = 0.39 states/eV per atom; symmetry = I-42d, No. 122; energy = -0.150 Ry per atom
1.0
-1.725 6.770 -1.730
-2.260 -2.227 -6.461
-4.440 1.900 -3.111
Li Ga Zn
4 2 2
Cartesian
-4.838 3.115 -5.443
-6.804 5.414 -9.461
-2.749 -0.030 -5.042
-2.461 4.387 -2.656
0.000 0.000 0.000
-4.079 5.471 -4.468
-1.993 2.272 -4.095
-4.347 0.972 -6.833


No. 14
PtC2O2 PBE-GGA relaxed; Fermi-level density of states = 0.68 states/eV per atom; energy above the lowest structure with this stoichiometry = 1.031 eV/atom; symmetry = I4/mmm, No. 139; formation energy without anion corrections = 1.69 eV/atom; energy = -0.382 Ry per atom
1.0
4.260 0.000 0.000
0.000 4.260 0.000
2.130 2.130 2.662
O C Pt
2 2 1
Cartesian
4.260 2.130 1.331
2.130 4.260 1.331
4.260 4.260 1.996
2.130 2.130 0.666
0.000 0.000 0.000


No. 15
PmSmBiI PBE-GGA relaxed; Fermi-level density of states = 1.03 states/eV per atom; symmetry = F-43m, No. 216; formation energy without anion corrections = -0.82 eV/atom; energy = -0.334 Ry per atom
1.0
5.542 0.000 0.000
2.771 4.799 0.000
2.771 1.600 4.525
Pm I Sm Bi
1 1 1 1
Cartesian
0.000 0.000 0.000
8.313 4.799 3.394
5.542 3.200 2.262
2.771 1.600 1.131


No. 16
PmPrDy3Th PBE-GGA relaxed; energy relative to the elements = 214 meV/atom; Fermi-level density of states = 1.39 states/eV per atom; symmetry = C2/m, No. 12; energy = -0.361 Ry per atom
1.0
-0.086 5.067 2.491
-3.948 -6.615 6.918
6.451 -1.191 2.646
Dy Pm Pr Th
6 2 2 2
Cartesian
-2.178 -4.195 8.456
2.590 -0.641 7.793
-1.138 -0.567 7.514
-0.172 -2.098 4.262
3.555 -2.173 4.541
4.595 1.455 3.599
0.644 -3.507 7.154
1.773 0.767 4.901
-0.937 1.292 3.739
3.355 -4.032 8.317
1.297 -0.764 1.599
1.120 -1.976 10.456


No. 17
PuNpPa2Sb4 PBE-GGA relaxed; Fermi-level density of states = 3.80 states/eV per atom; symmetry = I-4m2, No. 119; formation energy without anion corrections = -0.43 eV/atom; energy = -0.608 Ry per atom
1.0
-2.936 4.469 3.131
1.550 -2.722 5.346
5.935 2.450 -4.066
Sb Pa Pu Np
4 2 1 1
Cartesian
6.000 1.952 2.845
0.792 -1.350 2.674
2.610 1.655 0.086
1.939 2.542 4.325
0.000 0.000 0.000
3.396 0.301 2.759
1.153 3.896 1.652
-0.693 0.873 4.239


No. 18
Tc2C PBE-GGA relaxed; energy relative to the elements = 396 meV/atom; Fermi-level density of states = 0.85 states/eV per atom; energy above the lowest structure with this stoichiometry = 0.321 eV/atom; symmetry = C2/m, No. 12; energy = -0.705 Ry per atom
1.0
1.474 4.279 0.009
-1.474 4.279 0.009
0.000 0.022 2.909
C Tc
1 2
Cartesian
0.000 4.279 0.009
0.000 7.320 0.681
0.000 1.259 2.247


No. 19
Sc2TcMo PBE-GGA relaxed; energy relative to the elements = 170 meV/atom; Fermi-level density of states = 0.90 states/eV per atom; energy above the lowest structure with this stoichiometry = 0.294 eV/atom; symmetry = Pmm2, No. 25; energy = -0.610 Ry per atom
1.0
-1.461 0.010 -2.620
1.905 -3.847 -1.076
-4.109 -2.673 2.280
Sc Tc Mo
2 1 1
Cartesian
-4.062 -2.642 2.254
-0.856 -2.619 -1.250
-2.147 -1.397 1.192
-2.763 -3.860 -0.192


No. 20
Ca2Al3CrAu12 PBE-GGA relaxed; energy relative to the elements = -110 meV/atom; Fermi-level density of states = 0.48 states/eV per atom; symmetry = R-3m, No. 166; energy = -0.270 Ry per atom
1.0
8.093 -0.286 -0.203
3.749 7.179 -0.203
3.749 2.182 6.842
Au Al Cr Ca
12 3 1 2
Cartesian
9.879 3.105 2.202
7.579 7.057 2.202
8.012 2.018 4.234
9.545 7.987 5.665
7.579 4.412 5.932
11.659 4.355 5.665
3.931 2.288 4.199
8.012 4.664 0.505
11.659 6.787 2.238
6.046 1.088 0.772
5.712 5.970 4.234
3.931 4.720 0.772
1.874 1.091 3.421
1.874 3.589 -0.101
4.047 -0.143 -0.101
0.000 0.000 0.000
9.482 5.519 3.915
6.109 3.556 2.522